# 1
Density functional theory data (PBE-GGA) for an optimized crystal structure of Be2HgP.

abc: 3.461 3.433 5.003
angles: 90.00 99.65 90.00
Space group P2/m (No. 10)
Inequivalent atoms, fractional coordinates:
Be 0.000 0.000 0.000
Be 0.500 0.500 0.500
Hg 0.000 0.000 0.500
P 0.500 0.500 0.000

Output
**Energy of formation**: 0.4573 eV/atom
**M_tot**: 0.00 Bohr magnetons per cell
**Energy above the most stable polymorph in this dataset**: 32.33 kJ per mole of atoms
**DFT total energy**: -2.834 eV per atom
**Density of states at the Fermi level**: 0.379 states/eV/atom

# 2
Density functional theory data (PBE-GGA) for an optimized crystal structure of Tb2NdYTm2.

abc: 6.951 9.771 5.615
angles: 90.00 90.00 90.00
Space group Pnnm (No. 58)
Inequivalent atoms, fractional coordinates:
Tb 0.248 0.167 0.000
Nd 0.000 0.500 0.000
Y 0.000 0.000 0.500
Tm 0.250 0.334 0.500

Output
**Energy of formation**: 0.0697 eV/atom
**M_tot**: 0.00 Bohr magnetons per cell
**DFT total energy**: -4.836 eV per atom
**Density of states at the Fermi level**: 1.616 states/eV/atom

# 3
Density functional theory data (PBE-GGA) for an optimized crystal structure of SmY2ScSe4.

abc: 7.022 4.025 7.101
angles: 90.00 109.01 90.00
Space group P2/m (No. 10)
Inequivalent atoms, fractional coordinates:
Sm 0.000 0.000 0.000
Y 0.500 0.000 0.500
Y 0.500 0.500 0.000
Sc 0.000 0.500 0.500
Se 0.242 0.000 0.737
Se 0.250 0.500 0.261

Output
**Energy relative to the elements, uncorrected**: -1.7151 eV/atom
**M_tot**: 0.00 Bohr magnetons per cell
**DFT total energy**: -6.455 eV per atom
**Density of states at the Fermi level**: 0.622 states/eV/atom

# 4
Density functional theory data (PBE-GGA) for an optimized crystal structure of Al12ZnGa6.

abc: 11.5292 11.5292 9.9595
angles: 90.00 90.00 120.00
Space group R-3 (No. 148, hexagonal axes)
Inequivalent atoms, fractional coordinates:
Al 0.0384 0.7995 0.4385
Al 0.0482 0.8074 0.9173
Zn 0.0000 0.0000 0.5000
Ga 0.0428 0.8259 0.1814

Output
**Energy of formation**: 0.1185 eV/atom
**M_tot**: 0.00 Bohr magnetons per cell
**Energy above the most stable polymorph in this dataset**: 4.45 kJ per mole of atoms
**DFT total energy**: -3.268 eV per atom
**Density of states at the Fermi level**: 0.285 states/eV/atom

# 5
Density functional theory data (PBE-GGA) for an optimized crystal structure of HfHg.

abc: 3.485 3.485 3.485
angles: 90.00 90.00 90.00
Space group Pm-3m (No. 221)
Inequivalent atoms, fractional coordinates:
Hf 0.000 0.000 0.000
Hg 0.500 0.500 0.500

Output
**Energy of formation**: 0.0033 eV/atom
**M_tot**: 0.00 Bohr magnetons per cell
**DFT total energy**: -5.124 eV per atom
**Density of states at the Fermi level**: 0.211 states/eV/atom

# 6
Density functional theory data (PBE-GGA) for an optimized crystal structure of CaDyTm2Se4.

abc: 7.046 4.053 7.058
angles: 90.00 109.17 90.00
Space group P2/m (No. 10)
Inequivalent atoms, fractional coordinates:
Ca 0.000 0.000 0.000
Dy 0.000 0.500 0.500
Tm 0.500 0.000 0.500
Tm 0.500 0.500 0.000
Se 0.256 0.000 0.752
Se 0.257 0.500 0.253

Output
**Energy relative to the elements, uncorrected**: -1.7649 eV/atom
**M_tot**: 0.00 Bohr magnetons per cell
**DFT total energy**: -5.451 eV per atom
**Density of states at the Fermi level**: 0.345 states/eV/atom

# 7
Density functional theory data (PBE-GGA) for an optimized crystal structure of Ba2MgSn2As4.

abc: 16.693 4.452 7.759
angles: 90.00 113.38 90.00
Space group C2/m (No. 12)
Inequivalent atoms, fractional coordinates:
Ba 0.128 0.000 0.057
Mg 0.000 0.000 0.500
Sn 0.162 0.500 0.480
As 0.004 0.500 0.746
As 0.197 0.000 0.701

Output
**Energy of formation**: -0.5385 eV/atom
**M_tot**: 0.00 Bohr magnetons per cell
**DFT total energy**: -4.099 eV per atom
**Density of states at the Fermi level**: 0.192 states/eV/atom

> Among the records above, which one has the lowest density of states at the Fermi level?

Ba2MgSn2As4